# 1
First-principles (PBE-GGA) data for a relaxed structure of Th2P3PdRh4, as listed in Alexandria via LeMat-Bulk.

Results
The space-group type is P-4m2, No. 115. The total moment is 0.0 Bohr magnetons per cell. As for the volume: 173.2 Å³/cell. The formation energy is -10.08 eV/f.u.

Unit cell a=3.9911 b=3.9911 c=10.8741 alpha=90.00 beta=90.00 gamma=90.00
Closest atoms and distances in Å follow each position.
Atoms (fractional coordinates):
Th1 0.0000 0.5000 0.2447  4 Rh 2.95, 4 P 3.16
Th2 0.5000 0.0000 0.7553  4 Rh 2.95, 4 P 3.16
P1 0.0000 0.0000 0.0000  4 Rh 2.70, 4 Pd 2.82
P2 0.0000 0.5000 0.6240  5 Rh 2.27-2.41
P3 0.5000 0.0000 0.3760  5 Rh 2.27-2.41
Pd1 0.5000 0.5000 0.0000  4 Rh 2.70, 4 P 2.82
Rh1 0.0000 0.0000 0.5000  4 P 2.41
Rh2 0.0000 0.5000 0.8330  1 P 2.27
Rh3 0.5000 0.0000 0.1670  1 P 2.27
Rh4 0.5000 0.5000 0.5000  4 P 2.41



# 2
First-principles (PBE-GGA) data for a relaxed structure of Th2PPd2Rh4, as listed in Alexandria via LeMat-Bulk.

Results
The space-group type is I4/mmm, No. 139. The total moment is 0.0 Bohr magnetons per cell. As for the volume: 160.9 Å³/cell. The formation energy is -8.36 eV/f.u.

Unit cell a=6.0936 b=6.0936 c=6.0936 alpha=119.60 beta=119.60 gamma=90.69
Closest atoms and distances in Å follow each position.
Atoms (fractional coordinates):
Th1 0.2500 0.7500 0.5000  8 Rh 3.05, 4 Pd 3.07
Th2 0.7500 0.2500 0.5000  8 Rh 3.05, 4 Pd 3.07
P1 0.0000 0.0000 0.0000  4 Rh 2.27, 2 Pd 2.35
Pd1 0.2739 0.2739 0.0000  1 P 2.35
Pd2 0.7261 0.7261 0.0000  1 P 2.35
Rh1 0.2615 0.2615 0.5230  1 P 2.27
Rh2 0.2615 0.7385 0.0000  1 P 2.27
Rh3 0.7385 0.2615 0.0000  1 P 2.27
Rh4 0.7385 0.7385 0.4770  1 P 2.27



# 3
First-principles (PBE-GGA) data for a relaxed structure of UP2Pd2Rh, as listed in Alexandria via LeMat-Bulk.

Results
The space-group type is Pmc2_1, No. 26. The total moment is 3.2 Bohr magnetons per cell. As for the volume: 194.4 Å³/cell. The formation energy is -3.63 eV/f.u.

Unit cell a=4.1915 b=7.4557 c=6.2217 alpha=90.00 beta=90.00 gamma=90.00
Closest atoms and distances in Å follow each position.
Atoms (fractional coordinates):
U1 0.0000 0.0427 0.0000  5 P 2.65-2.85
U2 0.0000 0.9573 0.5000  5 P 2.65-2.85
P1 0.0000 0.3301 0.7484  2 Pd 2.30-2.40, 2 Rh 2.36
P2 0.0000 0.6699 0.2484  2 Pd 2.30-2.40, 2 Rh 2.36
P3 0.5000 0.1345 0.2722  1 Rh 2.38, 1 Pd 2.39
P4 0.5000 0.8655 0.7722  1 Rh 2.38, 1 Pd 2.39
Pd1 0.0000 0.3773 0.3661  2 P 2.30-2.40
Pd2 0.0000 0.6227 0.8661  2 P 2.30-2.40
Pd3 0.5000 0.3913 0.0421  1 P 2.39
Pd4 0.5000 0.6087 0.5421  1 P 2.39
Rh1 0.5000 0.2160 0.6417  3 P 2.36-2.38
Rh2 0.5000 0.7840 0.1417  3 P 2.36-2.38